## YFe2TcPb (PBE)

Data for a relaxed YFe2TcPb crystal.

Unit cell a=4.5118 b=4.5118 c=5.1549 alpha=90.00 beta=90.00 gamma=90.00
Fractional positions:
Y1 0.0000 0.0000 0.0000
Fe1 0.0000 0.5000 0.5000
Fe2 0.5000 0.0000 0.5000
Tc1 0.5000 0.5000 0.5000
Pb1 0.5000 0.5000 0.0000

E_form (eV/atom): 0.8790

***

## Cr2RuBr (PBE)

Data for a relaxed Cr2RuBr crystal.

Unit cell a=3.0696 b=3.0696 c=7.1969 alpha=90.00 beta=90.00 gamma=90.30
Fractional positions:
Cr1 0.0000 0.0000 0.2150
Cr2 0.0000 0.0000 0.7850
Ru1 0.5000 0.5000 0.0000
Br1 0.5000 0.5000 0.5000

Distance to the lowest polymorph of the same formula (meV/atom): 9
Raw formation energy (eV per atom): 0.478

***

Quick rundown of magnetic moment, same order as above: 0.016, 6.580 μB per cell
Quick rundown of energy, same order as above: -0.4861, -0.5197 Ry per atom